Density functional theory data (GGA-PBE) for a relaxed structure of Sm2LuAl7Cu2.

abc: 9.083 9.083 9.083
angles: 35.36 35.36 35.36
Fractional positions:
Sm (0.142, 0.142, 0.142)
Sm (0.858, 0.858, 0.858)
Lu (0.000, 0.000, 0.000)
Al (0.072, 0.581, 0.581)
Al (0.419, 0.419, 0.928)
Al (0.419, 0.928, 0.419)
Al (0.500, 0.500, 0.500)
Al (0.581, 0.072, 0.581)
Al (0.581, 0.581, 0.072)
Al (0.928, 0.419, 0.419)
Cu (0.335, 0.335, 0.335)
Cu (0.665, 0.665, 0.665)

Values from the calculation:
* energy: -53.1 eV for the cell shown
* space-group type: No. 166
* volume: 224 Å³/cell

Density functional theory data (GGA-PBE) for a relaxed structure of YZnFeHg.

abc: 4.804 4.804 4.804
angles: 60.00 60.00 60.00
Fractional positions:
Y (0.000, 0.000, 0.000)
Zn (0.250, 0.250, 0.250)
Fe (0.500, 0.500, 0.500)
Hg (0.750, 0.750, 0.750)

Values from the calculation:
* energy: -16.3 eV for the cell shown
* space-group type: No. 216
* polymorph energy (0 for the lowest one): 0.0 meV per atom
* DFT formation energy: 0.0039 eV per atom
* volume: 78 Å³/cell

Density functional theory data (GGA-PBE) for a relaxed structure of CsAsAuO.

abc: 3.877 6.275 8.656
angles: 90.00 90.00 90.00
Fractional positions:
Cs (0.000, 0.139, 0.000)
Cs (0.000, 0.861, 0.500)
As (0.500, 0.329, 0.638)
As (0.500, 0.671, 0.138)
Au (0.500, 0.390, 0.348)
Au (0.500, 0.610, 0.848)
O (0.000, 0.298, 0.327)
O (0.000, 0.702, 0.827)

Values from the calculation:
* energy: -28.9 eV for the cell shown
* space-group type: No. 26
* polymorph energy (0 for the lowest one): 266.2 meV per atom
* volume: 211 Å³/cell

Density functional theory data (GGA-PBE) for a relaxed structure of AgPbSF.

abc: 10.916 10.916 10.916
angles: 22.18 22.18 22.18
Fractional positions:
Ag (0.194, 0.194, 0.194)
Ag (0.806, 0.806, 0.806)
Pb (0.388, 0.388, 0.388)
Pb (0.612, 0.612, 0.612)
S (0.108, 0.108, 0.108)
S (0.892, 0.892, 0.892)
F (0.307, 0.307, 0.307)
F (0.693, 0.693, 0.693)

Values from the calculation:
* energy: -33.1 eV for the cell shown
* space-group type: No. 166
* polymorph energy (0 for the lowest one): 5.5 meV per atom
* volume: 163 Å³/cell

Density functional theory data (GGA-PBE) for a relaxed structure of BeAlSnIr.

abc: 4.418 4.418 4.418
angles: 60.00 60.00 60.00
Fractional positions:
Be (0.000, 0.000, 0.000)
Al (0.500, 0.500, 0.500)
Sn (0.250, 0.250, 0.250)
Ir (0.750, 0.750, 0.750)

Values from the calculation:
* energy: -19.7 eV for the cell shown
* space-group type: No. 216
* polymorph energy (0 for the lowest one): 59.1 meV per atom
* volume: 61 Å³/cell

Density functional theory data (GGA-PBE) for a relaxed structure of KHoTa.

abc: 5.425 5.425 5.425
angles: 60.00 60.00 60.00
Fractional positions:
K (0.000, 0.000, 0.000)
Ho (0.250, 0.250, 0.250)
Ta (0.500, 0.500, 0.500)

Values from the calculation:
* energy: -11.7 eV for the cell shown
* space-group type: No. 216
* polymorph energy (0 for the lowest one): 0.0 meV per atom
* volume: 113 Å³/cell

Density functional theory data (GGA-PBE) for a relaxed structure of GdGeHO4.

abc: 5.230 11.714 4.788
angles: 90.00 90.00 90.00
Fractional positions:
Gd (0.000, 0.120, 0.250)
Gd (0.000, 0.880, 0.750)
Gd (0.500, 0.380, 0.750)
Gd (0.500, 0.620, 0.250)
Ge (0.000, 0.393, 0.250)
Ge (0.000, 0.607, 0.750)
Ge (0.500, 0.107, 0.750)
Ge (0.500, 0.893, 0.250)
H (0.000, 0.299, 0.750)
H (0.000, 0.701, 0.250)
H (0.500, 0.201, 0.250)
H (0.500, 0.799, 0.750)
O (0.116, 0.298, 0.525)
O (0.116, 0.702, 0.025)
O (0.238, 0.042, 0.595)
O (0.238, 0.958, 0.095)
O (0.262, 0.458, 0.095)
O (0.262, 0.542, 0.595)
O (0.384, 0.202, 0.025)
O (0.384, 0.798, 0.525)
O (0.616, 0.202, 0.475)
O (0.616, 0.798, 0.975)
O (0.738, 0.458, 0.405)
O (0.738, 0.542, 0.905)
O (0.762, 0.042, 0.905)
O (0.762, 0.958, 0.405)
O (0.884, 0.298, 0.975)
O (0.884, 0.702, 0.475)

Values from the calculation:
* energy: -191.5 eV for the cell shown
* space-group type: No. 60
* polymorph energy (0 for the lowest one): 25.8 meV per atom
* volume: 293 Å³/cell

Density functional theory data (GGA-PBE) for a relaxed structure of KNdAgSe3.

abc: 7.750 7.750 11.103
angles: 90.00 90.00 148.23
Fractional positions:
K (0.250, 0.750, 0.750)
K (0.750, 0.250, 0.250)
Nd (0.000, 0.000, 0.000)
Nd (0.000, 0.000, 0.500)
Ag (0.466, 0.534, 0.250)
Ag (0.534, 0.466, 0.750)
Se (0.075, 0.925, 0.250)
Se (0.367, 0.633, 0.056)
Se (0.367, 0.633, 0.444)
Se (0.633, 0.367, 0.556)
Se (0.633, 0.367, 0.944)
Se (0.925, 0.075, 0.750)

Values from the calculation:
* energy: -51.6 eV for the cell shown
* space-group type: No. 63
* volume: 351 Å³/cell

| no. | ρ (Mg/m³) |
| --- | --- |
| 1 | 5.86 |
| 2 | 8.70 |
| 3 | 6.64 |
| 4 | 7.48 |
| 5 | 9.44 |
| 6 | 5.66 |
| 7 | 6.68 |
| 8 | 4.99 |